Tb2Ho3Se6 | PBE | relaxed

a = 7.0407 Å, b = 12.1363 Å, c = 7.0190 Å
α = 90.00°, β = 109.48°, γ = 90.00°
Space group C2/m (No. 12)
One atom of each set of equivalent atoms:
Tb 0.0000 0.1649 0.0000
Ho 0.0000 0.0000 0.5000
Ho 0.0000 0.3344 0.5000
Se 0.2440 0.5000 0.7527
Se 0.2473 0.3359 0.2503

Values from the calculation:
Mass density in g/cm3: 7.556
ΔE_f (raw) in eV/atom: -1.8596
Crystal system: monoclinic